Entry from Alexandria via LeMat-Bulk: a relaxed Nd2GaIr3 crystal (PBE-GGA).

Cell lengths 5.6275, 5.6275, 8.3359 Å; angles 90.00, 90.00, 120.00 degrees
With the nearest neighbours (Å) after each atom.
Sites, in units of the cell vectors:
Nd  0.3333  0.6667  0.5646  9 Ir 3.07-3.21, 4 Nd 3.09-3.42, 3 Ga 3.29
Nd  0.3333  0.6667  0.9354  9 Ir 3.07-3.21, 4 Nd 3.09-3.42, 3 Ga 3.29
Nd  0.6667  0.3333  0.4354  9 Ir 3.07-3.21, 4 Nd 3.09-3.42, 3 Ga 3.29
Nd  0.6667  0.3333  0.0646  9 Ir 3.07-3.21, 4 Nd 3.09-3.42, 3 Ga 3.29
Ir  0.8304  0.1696  0.7500  2 Ga 2.66, 4 Ir 2.77-2.86
Ir  0.1696  0.8304  0.2500  2 Ga 2.66, 4 Ir 2.77-2.86
Ir  0.3391  0.1696  0.7500  2 Ga 2.66, 4 Ir 2.77-2.86
Ir  0.8304  0.6609  0.7500  2 Ga 2.66, 4 Ir 2.77-2.86
Ir  0.1696  0.3391  0.2500  2 Ga 2.66, 4 Ir 2.77-2.86
Ir  0.6609  0.8304  0.2500  2 Ga 2.66, 4 Ir 2.77-2.86
Ga  0.0000  0.0000  0.5000  6 Ir 2.66
Ga  0.0000  0.0000  0.0000  6 Ir 2.66

Results
The value obtained for the energy of formation from the pure elements is -412 kJ/mol of formula units. For the density of states at the Fermi level, the calculation gives 7.20 states/eV per cell. Its density is 13.58 g/cm³. For the volume, the calculation gives 114.3 Å³/f.u.


Entry from Alexandria via LeMat-Bulk: a relaxed Sc5SnHg4 crystal (PBE-GGA).

Cell lengths 3.5233, 3.5233, 17.7642 Å; angles 90.00, 90.00, 90.00 degrees
With the nearest neighbours (Å) after each atom.
Sites, in units of the cell vectors:
Sc  0.5000  0.5000  0.1034  4 Hg 3.09, 4 Sn 3.10
Sc  0.5000  0.5000  0.8966  4 Hg 3.09, 4 Sn 3.10
Sc  0.5000  0.5000  0.6982  8 Hg 3.01-3.04
Sc  0.5000  0.5000  0.5000  8 Hg 3.06
Sc  0.5000  0.5000  0.3018  8 Hg 3.01-3.04
Hg  0.0000  0.0000  0.3998  8 Sc 3.04-3.06
Hg  0.0000  0.0000  0.7934  8 Sc 3.01-3.09
Hg  0.0000  0.0000  0.6002  8 Sc 3.04-3.06
Hg  0.0000  0.0000  0.2066  8 Sc 3.01-3.09
Sn  0.0000  0.0000  0.0000  8 Sc 3.10

Results
The value obtained for the energy of formation from the pure elements is -429 kJ/mol of formula units. For the density of states at the Fermi level, the calculation gives 9.68 states/eV per cell. Its density is 8.63 g/cm³. For the volume, the calculation gives 220.5 Å³/f.u.


Entry from Alexandria via LeMat-Bulk: a relaxed Rh2WBr crystal (PBE-GGA).

Cell lengths 2.8762, 2.8762, 8.0832 Å; angles 90.00, 90.00, 90.00 degrees
With the nearest neighbours (Å) after each atom.
Sites, in units of the cell vectors:
Rh  0.0000  0.0000  0.4715  4 W 2.71, 4 Rh 2.88, 4 Br 3.03
Rh  0.0000  0.0000  0.0285  4 W 2.71, 4 Rh 2.88, 4 Br 3.03
W  0.5000  0.5000  0.2500  8 Rh 2.71, 4 W 2.88
Br  0.5000  0.5000  0.7500  4 Br 2.88, 8 Rh 3.03

Results
The raw total energy is -7.132 eV per atom. For the density of states at the Fermi level, the calculation gives 1.97 states/eV per cell. Its density is 11.66 g/cm³. For the volume, the calculation gives 66.9 Å³/f.u.


Entry from Alexandria via LeMat-Bulk: a relaxed Li2AcAgPd4 crystal (PBE-GGA).

Cell lengths 4.3924, 4.3924, 9.1808 Å; angles 76.16, 76.16, 60.00 degrees
With the nearest neighbours (Å) after each atom.
Sites, in units of the cell vectors:
Pd  0.8804  0.8804  0.3587  4 Li 2.55-2.79, 3 Ag 2.83
Pd  0.6021  0.6021  0.1936  1 Ag 2.70, 3 Li 2.79, 3 Pd 2.92
Pd  0.1196  0.1196  0.6413  4 Li 2.55-2.79, 3 Ag 2.83
Pd  0.3979  0.3979  0.8064  1 Ag 2.70, 3 Li 2.79, 3 Pd 2.92
Ac  0.0000  0.0000  0.0000  8 Pd 3.06-3.16
Ag  0.5000  0.5000  0.5000  8 Pd 2.70-2.83, 6 Li 2.97
Li  0.7749  0.7749  0.6754  7 Pd 2.55-2.79
Li  0.2251  0.2251  0.3246  7 Pd 2.55-2.79

Results
The value obtained for the energy of formation from the pure elements is -360 kJ/mol of formula units. For the density of states at the Fermi level, the calculation gives 1.86 states/eV per cell. Its density is 8.72 g/cm³. For the volume, the calculation gives 147.4 Å³/f.u.


Entry from Alexandria via LeMat-Bulk: a relaxed MoPtW3 crystal (PBE-GGA).

Cell lengths 4.7235, 4.7235, 4.7235 Å; angles 90.00, 90.00, 90.00 degrees
With the nearest neighbours (Å) after each atom.
Sites, in units of the cell vectors:
W  0.5000  0.0000  0.0000  2 Pt 2.36
W  0.0000  0.0000  0.5000  2 Pt 2.36
W  0.0000  0.5000  0.0000  2 Pt 2.36
Pt  0.0000  0.0000  0.0000  6 W 2.36
Mo  0.5000  0.5000  0.5000  12 W 3.34

Results
The value obtained for the energy of formation from the pure elements is 1118 kJ/mol of formula units. For the density of states at the Fermi level, the calculation gives 7.81 states/eV per cell. Its density is 13.28 g/cm³. For the volume, the calculation gives 105.4 Å³/f.u.


Entry from Alexandria via LeMat-Bulk: a relaxed NpCu4Pb crystal (PBE-GGA).

Cell lengths 5.2442, 5.2442, 5.2442 Å; angles 60.00, 60.00, 60.00 degrees
With the nearest neighbours (Å) after each atom.
Sites, in units of the cell vectors:
Pb  0.2500  0.2500  0.2500  12 Cu 3.08, 4 Np 3.21
Cu  0.1229  0.6257  0.6257  6 Cu 2.61-2.64
Cu  0.6257  0.6257  0.1229  6 Cu 2.61-2.64
Cu  0.6257  0.1229  0.6257  6 Cu 2.61-2.64
Cu  0.6257  0.6257  0.6257  6 Cu 2.61-2.64
Np  0.0000  0.0000  0.0000  12 Cu 3.07, 4 Pb 3.21

Results
The value obtained for the energy of formation from the pure elements is 99 kJ/mol of formula units. For the density of states at the Fermi level, the calculation gives 11.10 states/eV per cell. Its density is 11.37 g/cm³. For the volume, the calculation gives 102.0 Å³/f.u.